1.
The following is a DFT calculation (GGA-PBE) of crystalline Fe2AgAu2 at its relaxed geometry.

It has space group P4/mbm (No. 127), with a = 7.698 Å, b = 7.698 Å, c = 2.776 Å, α = 90.00°, β = 90.00° and γ = 90.00°. The asymmetric unit holds Fe at (0.111, 0.389, 0.000), Ag at (0.000, 0.000, 0.000) and Au at (0.182, 0.682, 0.500).

For the total energy, the calculation gives -5.04 eV/atom. For the magnetization, the calculation gives 12.09 μB per cell.


2.
The following is a DFT calculation (GGA-PBE) of crystalline Cs8I3Br4 at its relaxed geometry.

It has space group C2/m (No. 12), with a = 15.227 Å, b = 15.242 Å, c = 10.757 Å, α = 90.00°, β = 134.90° and γ = 90.00°. The asymmetric unit holds Cs at (0.000, 0.244, 0.000), Cs at (0.000, 0.245, 0.500), Cs at (0.239, 0.000, 0.490), Cs at (0.241, 0.000, 0.990), I at (0.000, 0.500, 0.500), I at (0.250, 0.250, 0.500), Br at (0.000, 0.000, 0.000), Br at (0.000, 0.000, 0.500) and Br at (0.250, 0.250, 0.000).

The raw formation energy is -1.55 eV per atom. For the magnetization, the calculation gives 1.62 μB per cell.


Which of these has the lowest magnetization? Cs8I3Br4


magnetization of number 1 (Fe2AgAu2)? 12.09 μB per cell